Here is a relaxed structure of Pm3SmN from the Open Quantum Materials Database. Energies are from PBE.

Geometry as POSCAR:
```
Pm3SmN
1.0
5.1039 0.0000 0.0000
0.0000 5.1039 0.0000
0.0000 0.0000 5.1039
Pm Sm N
3 1 1
direct
0.0000 0.0000 0.5000 Pm
0.0000 0.5000 0.0000 Pm
0.5000 0.0000 0.0000 Pm
0.5000 0.5000 0.5000 Sm
0.0000 0.0000 0.0000 N
```

Calculated density, g cm⁻³: 7.49
Uncorrected energy, eV/atom: -5.917
Spin magnetization, μB per cell: 0.02
SG: Pm-3m, No. 221